i:
DFT (PBE) results for CsTiCd2Rh after structural relaxation.

Space group   No. 123
Density of states at the Fermi level   0.970 states/eV/atom

Lattice parameters (Å, degrees): 5.315 5.591 5.315 90.00 90.00 90.00
Each line ends with the local moment (μB).
Element x y z (fractional)
1 Cs 0.000 0.500 0.000  0.04
2 Ti 0.500 0.500 0.500  2.15
3 Cd 0.500 0.000 0.000  0.00
4 Cd 0.000 0.000 0.500  0.00
5 Rh 0.000 0.000 0.000  0.18



ii:
DFT (PBE) results for CsTiCd2Rh after structural relaxation.

Space group   No. 123
Density of states at the Fermi level   1.012 states/eV/atom

Lattice parameters (Å, degrees): 5.784 4.579 5.784 90.00 90.00 90.00
Each line ends with the local moment (μB).
Element x y z (fractional)
1 Ti 0.000 0.000 0.000  0.76
2 Rh 0.000 0.500 0.000  -0.12
3 Cd 0.000 0.000 0.500  0.02
4 Cd 0.500 0.000 0.000  0.03
5 Cs 0.500 0.500 0.500  0.02



What should be chosen as the least stable of them? Choose i.



i:
DFT (PBE) results for CsCdRu3 after structural relaxation.

Space group   No. 221
Density of states at the Fermi level   1.779 states/eV/atom

Lattice parameters (Å, degrees): 5.151 5.151 5.151 90.00 90.00 90.00
Each line ends with the local moment (μB).
Element x y z (fractional)
1 Ru 0.000 0.000 0.500  2.15
2 Ru 0.500 0.000 0.000  1.57
3 Ru 0.000 0.500 0.000  2.09
4 Cs 0.500 0.500 0.500  0.02
5 Cd 0.000 0.000 0.000  -0.02



ii:
DFT (PBE) results for CsCdRu3 after structural relaxation.

Space group   No. 221
Density of states at the Fermi level   1.924 states/eV/atom

Lattice parameters (Å, degrees): 4.915 4.915 4.915 90.00 90.00 90.00
Each line ends with the local moment (μB).
Element x y z (fractional)
1 Ru 0.000 0.000 0.500  0.91
2 Ru 0.500 0.000 0.000  0.91
3 Ru 0.000 0.500 0.000  1.11
4 Cd 0.500 0.500 0.500  -0.04
5 Cs 0.000 0.000 0.000  -0.01



What should be chosen as the least stable of them? Choose ii.



i:
DFT (PBE) results for CsCd3S after structural relaxation.

Space group   No. 221
Density of states at the Fermi level   0.688 states/eV/atom

Lattice parameters (Å, degrees): 5.674 5.674 5.674 90.00 90.00 90.00
Element x y z (fractional)
1 S 0.000 0.000 0.000
2 Cd 0.000 0.000 0.500
3 Cd 0.000 0.500 0.000
4 Cd 0.500 0.000 0.000
5 Cs 0.500 0.500 0.500



ii:
DFT (PBE) results for CsCd3S after structural relaxation.

Space group   No. 221
Density of states at the Fermi level   2.417 states/eV/atom

Lattice parameters (Å, degrees): 7.247 7.247 7.247 90.00 90.00 90.00
Each line ends with the local moment (μB).
Element x y z (fractional)
1 S 0.500 0.500 0.500  0.59
2 Cs 0.000 0.000 0.000  0.00
3 Cd 0.500 0.000 0.000  0.00
4 Cd 0.000 0.500 0.000  0.00
5 Cd 0.000 0.000 0.500  0.00



What should be chosen as the least stable of them? Choose ii.



i:
DFT (PBE) results for CsCd2Sb2 after structural relaxation.

Space group   No. 2
Density of states at the Fermi level   0.379 states/eV/atom

Lattice parameters (Å, degrees): 8.053 8.134 8.100 71.42 60.28 50.28
Element x y z (fractional)
1 Cd 0.282 0.754 0.431
2 Cd 0.495 0.249 0.013
3 Cd 0.505 0.751 0.987
4 Cd 0.718 0.246 0.569
5 Cs 0.852 0.750 0.300
6 Cs 0.148 0.250 0.700
7 Sb 0.857 0.843 0.786
8 Sb 0.366 0.653 0.781
9 Sb 0.143 0.157 0.214
10 Sb 0.634 0.347 0.219



ii:
DFT (PBE) results for CsCd2Sb2 after structural relaxation.

Space group   No. 129
Density of states at the Fermi level   0.210 states/eV/atom

Lattice parameters (Å, degrees): 5.257 5.257 11.846 90.00 90.00 90.00
Element x y z (fractional)
1 Cd 0.500 0.500 0.500
2 Cd 0.000 0.000 0.500
3 Cd 0.000 0.500 0.127
4 Cd 0.500 0.000 0.873
5 Cs 0.500 0.000 0.251
6 Cs 0.000 0.500 0.749
7 Sb 0.000 0.500 0.374
8 Sb 0.000 0.000 0.000
9 Sb 0.500 0.000 0.626
10 Sb 0.500 0.500 0.000



iii:
DFT (PBE) results for CsCd2Sb2 after structural relaxation.

Space group   No. 127
Density of states at the Fermi level   0.546 states/eV/atom

Lattice parameters (Å, degrees): 9.436 9.436 3.539 90.00 90.00 90.00
Element x y z (fractional)
1 Sb 0.857 0.357 0.000
2 Sb 0.143 0.643 0.000
3 Sb 0.643 0.857 0.000
4 Sb 0.357 0.143 0.000
5 Cd 0.359 0.859 0.500
6 Cd 0.141 0.359 0.500
7 Cd 0.641 0.141 0.500
8 Cd 0.859 0.641 0.500
9 Cs 0.000 0.000 0.000
10 Cs 0.500 0.500 0.000



iv:
DFT (PBE) results for CsCd2Sb2 after structural relaxation.

Space group   No. 139
Density of states at the Fermi level   0.462 states/eV/atom

Lattice parameters (Å, degrees): 4.606 4.606 8.970 75.12 75.12 90.00
Element x y z (fractional)
1 Sb 0.361 0.361 0.279
2 Sb 0.639 0.639 0.721
3 Cd 0.250 0.750 0.500
4 Cd 0.750 0.250 0.500
5 Cs 0.000 0.000 0.000



What should be chosen as the least stable of them? Choose iii.



i:
DFT (PBE) results for CsCd2Sb2 after structural relaxation.

Space group   No. 127
Density of states at the Fermi level   0.412 states/eV/atom

Lattice parameters (Å, degrees): 9.303 9.303 3.531 90.00 90.00 90.00
Element x y z (fractional)
1 Cs 0.000 0.000 0.000
2 Cs 0.500 0.500 0.000
3 Sb 0.661 0.161 0.500
4 Sb 0.339 0.839 0.500
5 Sb 0.161 0.339 0.500
6 Sb 0.839 0.661 0.500
7 Cd 0.874 0.374 0.000
8 Cd 0.126 0.626 0.000
9 Cd 0.374 0.126 0.000
10 Cd 0.626 0.874 0.000



ii:
DFT (PBE) results for CsCd2Sb2 after structural relaxation.

Space group   No. 139
Density of states at the Fermi level   0.361 states/eV/atom

Lattice parameters (Å, degrees): 5.034 5.034 7.345 69.96 69.96 90.00
Element x y z (fractional)
1 Cd 0.390 0.390 0.221
2 Cd 0.610 0.610 0.779
3 Sb 0.250 0.750 0.500
4 Sb 0.750 0.250 0.500
5 Cs 0.000 0.000 0.000



What should be chosen as the least stable of them? Choose i.



i:
DFT (PBE) results for CsCd3Sb after structural relaxation.

Space group   No. 221
Density of states at the Fermi level   0.276 states/eV/atom

Lattice parameters (Å, degrees): 5.936 5.936 5.936 90.00 90.00 90.00
Element x y z (fractional)
1 Sb 0.000 0.000 0.000
2 Cd 0.000 0.000 0.500
3 Cd 0.000 0.500 0.000
4 Cd 0.500 0.000 0.000
5 Cs 0.500 0.500 0.500



ii:
DFT (PBE) results for CsCd3Sb after structural relaxation.

Space group   No. 221
Density of states at the Fermi level   1.596 states/eV/atom

Lattice parameters (Å, degrees): 6.983 6.983 6.983 90.00 90.00 90.00
Each line ends with the local moment (μB).
Element x y z (fractional)
1 Cs 0.000 0.000 0.000  0.00
2 Sb 0.500 0.500 0.500  0.71
3 Cd 0.000 0.500 0.000  0.01
4 Cd 0.500 0.000 0.000  0.01
5 Cd 0.000 0.000 0.500  0.01



What should be chosen as the least stable of them? Choose ii.